# 1
! PBE+U CrReF3, relaxed; values from VASP
! Calculated total energy   -0.3403 Ry per atom
! Size of the total moment   0.000 μB/f.u.
! N(E_F)   1.69 states/eV per atom
&SYSTEM
  ibrav = 0, nat = 5, ntyp = 3
/
ATOMIC_SPECIES
Re 186.21 Re.upf
F 19.00 F.upf
Cr 52.00 Cr.upf
CELL_PARAMETERS angstrom
-3.6486 -1.1073 1.1677
1.4416 -3.5350 1.1523
0.7152 1.4764 3.6346
ATOMIC_POSITIONS crystal
Re 0.5000 0.5000 0.5000
F 0.0000 0.5000 0.0000
F 0.0000 0.0000 0.5000
F 0.5000 0.0000 0.0000
Cr 0.0000 0.0000 0.0000

***

# 2
! PBE+U CrRe2SF, relaxed; values from VASP
! Calculated total energy   -0.4753 Ry per atom
! Size of the total moment   2.496 μB/f.u.
! N(E_F)   0.96 states/eV per atom
&SYSTEM
  ibrav = 0, nat = 5, ntyp = 4
/
ATOMIC_SPECIES
Re 186.21 Re.upf
S 32.06 S.upf
F 19.00 F.upf
Cr 52.00 Cr.upf
CELL_PARAMETERS angstrom
4.0068 0.0000 0.0000
0.0000 5.0355 0.0000
0.0000 0.0000 4.0068
ATOMIC_POSITIONS crystal
Re 0.0000 0.0000 0.5000
Re 0.5000 0.0000 0.0000
S 0.0000 0.5000 0.0000
F 0.0000 0.0000 0.0000
Cr 0.5000 0.5000 0.5000

***

Q: Among the records above, which one has the lowest calculated total energy?
A: CrRe2SF

***

Q: What is the calculated total energy in the first record?
A: -0.3403 Ry per atom

***

Q: calculated total energy of number 1 (CrReF3)?
A: -0.3403 Ry per atom